Entry 1:
DFT (PBE) results for crystalline Li2AcPrSb2 at its relaxed geometry.

Cell: 4.7740 4.7740 8.1008 Å, 90.00 90.00 120.00°
Space group P-3m1 (No. 164)
Unique sites:
Li 0.3333 0.6667 0.2241
Ac 0.0000 0.0000 0.5000
Pr 0.0000 0.0000 0.0000
Sb 0.3333 0.6667 0.7628

Values from the calculation:
ΔE_f (raw): -84.6 kJ per mole of atoms

***

Entry 2:
DFT (PBE) results for crystalline LiAcPrSb at its relaxed geometry.

Cell: 7.8624 7.8624 7.8624 Å, 90.00 90.00 90.00°
Space group F-43m (No. 216)
Unique sites:
Li 0.0000 0.0000 0.0000
Ac 0.2500 0.2500 0.7500
Pr 0.2500 0.2500 0.2500
Sb 0.0000 0.0000 0.5000

Values from the calculation:
ΔE_f (raw): -43.1 kJ per mole of atoms

***

Entry 3:
DFT (PBE) results for crystalline Li2AcPr2Sb2 at its relaxed geometry.

Cell: 4.8433 4.8433 29.1828 Å, 90.00 90.00 120.00°
Space group R-3m (No. 166, hexagonal axes)
Unique sites:
Li 0.0000 0.0000 0.0863
Ac 0.0000 0.0000 0.5000
Pr 0.0000 0.0000 0.3677
Sb 0.0000 0.0000 0.2397

Values from the calculation:
ΔE_f (raw): -59.7 kJ per mole of atoms

***

Entry 4:
DFT (PBE) results for crystalline LiAcPrSc at its relaxed geometry.

Cell: 7.9593 7.9593 7.9593 Å, 90.00 90.00 90.00°
Space group F-43m (No. 216)
Unique sites:
Li 0.0000 0.0000 0.0000
Ac 0.2500 0.2500 0.2500
Pr 0.2500 0.2500 0.7500
Sc 0.0000 0.0000 0.5000

Values from the calculation:
Calculated formation energy: 0.136 eV per atom

***

What total magnetic moment values result from the calculations? In sequence: 0.00, 0.00, 0.00, 0.00 μB/f.u..